Below is an optimized crystal structure of Na2CuGeF, with properties calculated at the PBE level.

a b c (Å): 4.151 4.151 5.268
angles (deg): 90.00 90.00 90.00
Fractional positions:
Na 0.000 0.500 0.000
Na 0.500 0.000 0.000
Cu 0.000 0.000 0.500
Ge 0.500 0.500 0.500
F 0.000 0.000 0.000

Output
**Crystal system**: tetragonal
**Raw total energy**: -0.1208 Ha/atom
**Spin magnetization**: 0.00 μB/cell
**Fermi-level density of states**: 1.93 states/eV/f.u.